[1]
Material: PuThAg
Method: DFT, PBE-GGA
State: optimized geometry

Output
For the formation energy, the calculation gives 0.15 eV per atom. For the electronic total energy, the calculation gives -24.140 eV/cell. Its offset from the most stable computed form is 34 meV per atom. The magnetic moment comes out at 5.8 μB/f.u.

Cell lengths 5.118, 5.118, 3.370 Å; angles 90.00, 90.00, 120.00 degrees
Fractional positions:
Pu 0.000 0.000 0.000
Th 0.333 0.667 0.651
Ag 0.667 0.333 0.300

[2]
Material: Rb2AgAu2
Method: DFT, PBE-GGA
State: optimized geometry

Output
For the formation energy, the calculation gives -0.17 eV per atom. For the electronic total energy, the calculation gives -24.363 eV/cell. Its offset from the most stable computed form is 41 meV per atom. The magnetic moment comes out at 0.0 μB/f.u.

Cell lengths 6.044, 6.044, 9.453 Å; angles 98.72, 98.72, 65.75 degrees
Fractional positions:
Rb 0.022 0.277 0.157
Rb 0.277 0.022 0.657
Rb 0.723 0.978 0.343
Rb 0.978 0.723 0.843
Ag 0.404 0.596 0.250
Ag 0.596 0.404 0.750
Au 0.240 0.503 0.492
Au 0.497 0.760 0.008
Au 0.503 0.240 0.992
Au 0.760 0.497 0.508

Among the records above, which one has the highest electronic total energy? PuThAg

The highest offset from the most stable computed form belongs to which entry? Rb2AgAu2

Copy entry 2 word for word.
Material: Rb2AgAu2
Method: DFT, PBE-GGA
State: optimized geometry

Output
For the formation energy, the calculation gives -0.17 eV per atom. For the electronic total energy, the calculation gives -24.363 eV/cell. Its offset from the most stable computed form is 41 meV per atom. The magnetic moment comes out at 0.0 μB/f.u.

Cell lengths 6.044, 6.044, 9.453 Å; angles 98.72, 98.72, 65.75 degrees
Fractional positions:
Rb 0.022 0.277 0.157
Rb 0.277 0.022 0.657
Rb 0.723 0.978 0.343
Rb 0.978 0.723 0.843
Ag 0.404 0.596 0.250
Ag 0.596 0.404 0.750
Au 0.240 0.503 0.492
Au 0.497 0.760 0.008
Au 0.503 0.240 0.992
Au 0.760 0.497 0.508

What is the electronic total energy in the first record? -24.140 eV/cell